Record 1
Below is crystalline Tl2Cd3In3 at its relaxed geometry, with properties calculated at the PBE level.

CIF file:
```
data_Tl2Cd3In3
_chemical_formula_sum 'Tl4 Cd6 In6'
_space_group_name_H-M_alt 'P 1'
_space_group_IT_number 1
_space_group_name_Hall 'P 1'
_cell_length_a 8.625
_cell_length_b 8.625
_cell_length_c 15.765
_cell_angle_alpha 90.00
_cell_angle_beta 90.00
_cell_angle_gamma 157.85
loop_
_atom_site_label
_atom_site_fract_x
_atom_site_fract_y
_atom_site_fract_z
Tl1 0.207 0.793 0.642
Tl2 0.207 0.793 0.858
Tl3 0.793 0.207 0.142
Tl4 0.793 0.207 0.358
Cd1 0.146 0.854 0.250
Cd2 0.466 0.534 0.087
Cd3 0.466 0.534 0.413
Cd4 0.534 0.466 0.587
Cd5 0.534 0.466 0.913
Cd6 0.854 0.146 0.750
In1 0.032 0.968 0.750
In2 0.132 0.868 0.054
In3 0.132 0.868 0.446
In4 0.868 0.132 0.554
In5 0.868 0.132 0.946
In6 0.968 0.032 0.250
```

Summary:
DOS at the Fermi energy (states/eV/atom): 0.5253
ΔE_f (eV per atom): 0.0684
SG: Cmcm

=====

Record 2
Below is crystalline Tl2CdIn at its relaxed geometry, with properties calculated at the PBE level.

CIF file:
```
data_Tl2CdIn
_chemical_formula_sum 'Tl4 Cd2 In2'
_space_group_name_H-M_alt 'P 1'
_space_group_IT_number 1
_space_group_name_Hall 'P 1'
_cell_length_a 12.059
_cell_length_b 12.059
_cell_length_c 12.059
_cell_angle_alpha 158.37
_cell_angle_beta 158.37
_cell_angle_gamma 30.78
loop_
_atom_site_label
_atom_site_fract_x
_atom_site_fract_y
_atom_site_fract_z
Tl1 0.124 0.625 0.999
Tl2 0.375 0.374 0.499
Tl3 0.626 0.125 0.001
Tl4 0.875 0.876 0.501
Cd1 0.000 0.000 0.000
Cd2 0.750 0.250 0.500
In1 0.250 0.750 0.500
In2 0.500 0.500 0.000
```

Summary:
Energy above the lowest structure with this stoichiometry (meV/atom): 81.3
DOS at the Fermi energy (states/eV/atom): 0.4944
ΔE_f (eV per atom): 0.1013
SG: I-42d